Version 1
{
  "formula": "MgCdNO",
  "functional": "PBE-GGA",
  "state": "relaxed",
  "lattice_angstrom": [[-1.865, -3.230, 0.000], [0.000, 0.000, 4.407], [-5.624, 3.247, 0.000]],
  "species": ["O", "O", "N", "N", "Mg", "Mg", "Cd", "Cd"],
  "frac_coords": [[0.500, 0.935, 0.860], [0.500, 0.435, 0.140], [0.000, 0.939, 0.322], [0.000, 0.439, 0.678], [0.500, 0.441, 0.834], [0.500, 0.941, 0.166], [0.000, 0.939, 0.668], [0.000, 0.439, 0.332]],
  "vol_a3_per_cell": 106.7,
  "spacegroup": "No. 26"
}

***

Version 2
{
  "formula": "MgCdNO",
  "functional": "PBE-GGA",
  "state": "relaxed",
  "lattice_angstrom": [[-3.484, 2.668, -0.627], [-1.362, -2.566, -3.348], [-2.519, -2.584, 3.006]],
  "species": ["N", "N", "Mg", "Mg", "Cd", "Cd", "O", "O"],
  "frac_coords": [[0.750, 0.750, 0.499], [0.250, 0.250, 0.501], [0.250, 0.250, 0.001], [0.750, 0.750, 0.999], [0.250, 0.750, 0.500], [0.750, 0.250, 0.500], [0.750, 0.250, 0.000], [0.250, 0.750, 0.000]],
  "vol_a3_per_cell": 92.3,
  "spacegroup": "No. 129"
}

***

Most stable one: version 2, least stable one: version 1.

***

Version 1
{
  "formula": "MgAgSeO",
  "functional": "PBE-GGA",
  "state": "relaxed",
  "lattice_angstrom": [[-0.550, 2.166, 3.277], [0.653, -3.213, 2.233], [9.495, 2.081, 0.219]],
  "species": ["Se", "Se", "Mg", "Mg", "Ag", "Ag", "O", "O"],
  "frac_coords": [[0.250, 0.250, 0.177], [0.750, 0.750, 0.823], [0.750, 0.250, 0.000], [0.250, 0.750, 0.000], [0.750, 0.750, 0.391], [0.250, 0.250, 0.609], [0.750, 0.750, 0.619], [0.250, 0.250, 0.381]],
  "vol_a3_per_cell": 153.0,
  "spacegroup": "No. 129"
}

***

Version 2
{
  "formula": "MgAgSeO",
  "functional": "PBE-GGA",
  "state": "relaxed",
  "lattice_angstrom": [[3.518, 0.000, 0.000], [0.000, 3.518, 0.000], [0.000, 0.000, 11.302]],
  "species": ["Mg", "Mg", "Ag", "Ag", "O", "O", "Se", "Se"],
  "frac_coords": [[0.750, 0.750, 0.089], [0.250, 0.250, 0.911], [0.250, 0.250, 0.283], [0.750, 0.750, 0.717], [0.250, 0.250, 0.083], [0.750, 0.750, 0.917], [0.750, 0.250, 0.500], [0.250, 0.750, 0.500]],
  "vol_a3_per_cell": 139.9,
  "spacegroup": "No. 129"
}

***

Most stable one: version 2, least stable one: version 1.

***

Version 1
{
  "formula": "HoBNO",
  "functional": "PBE-GGA",
  "state": "relaxed",
  "lattice_angstrom": [[2.582, 1.058, 0.156], [-0.153, -0.488, 5.828], [1.928, -4.656, -0.339]],
  "species": ["B", "B", "N", "N", "Ho", "Ho", "O", "O"],
  "frac_coords": [[0.500, 0.464, 0.693], [0.500, 0.964, 0.307], [0.000, 0.567, 0.651], [0.000, 0.067, 0.349], [0.000, 0.453, 0.200], [0.000, 0.953, 0.800], [0.500, 0.769, 0.129], [0.500, 0.269, 0.871]],
  "vol_a3_per_cell": 82.6,
  "spacegroup": "No. 26"
}

***

Version 2
{
  "formula": "HoBNO",
  "functional": "PBE-GGA",
  "state": "relaxed",
  "lattice_angstrom": [[-2.250, 0.760, 2.692], [-2.488, -2.122, -1.480], [2.461, -5.382, 3.577]],
  "species": ["B", "B", "Ho", "Ho", "O", "O", "N", "N"],
  "frac_coords": [[0.000, 0.000, 0.500], [0.500, 0.500, 0.500], [0.000, 0.500, 0.173], [0.500, 0.000, 0.827], [0.000, 0.000, 0.000], [0.500, 0.500, 0.000], [0.500, 0.000, 0.481], [0.000, 0.500, 0.519]],
  "vol_a3_per_cell": 89.1,
  "spacegroup": "No. 129"
}

***

Most stable one: version 1, least stable one: version 2.